1.
MgAlFeO4 | Alexandria | SCAN | single point on PBEsol structure; VASP energy = -74.483 eV per formula unit; formation energy without anion corrections = -2.672 eV/atom; total magnetic moment = 10.000 Bohr magnetons per cell
1.0
-5.5920 -0.5863 -1.2817
3.7110 -4.2994 -1.2503
-1.3884 1.1323 5.5392
Fe Al O Mg
2 2 8 2
Direct
0.6190 0.2381 0.8690
0.3810 0.7619 0.1310
0.5000 0.5000 0.5000
0.0000 0.5000 0.5000
0.2487 0.4974 0.7229
0.2487 0.4974 0.2745
0.7364 0.9614 0.7307
0.2636 0.0386 0.2693
0.7750 0.0386 0.2693
0.2250 0.9614 0.7307
0.7513 0.5026 0.2771
0.7513 0.5026 0.7255
0.0000 0.0000 0.5000
0.0000 0.0000 0.0000



2.
Mg14AlFeO16 | Alexandria | SCAN | single point on PBEsol structure; VASP energy = -286.616 eV per formula unit; formation energy without anion corrections = -2.856 eV/atom; total magnetic moment = 3.040 Bohr magnetons per cell
1.0
-0.5907 0.4450 4.1145
-2.1913 -8.1331 0.5651
8.1033 -2.0868 1.3891
Mg Al O Fe
14 1 16 1
Direct
0.5000 0.5000 0.2517
0.0000 0.7528 0.2553
0.0000 0.5000 0.0000
0.5000 0.0000 0.2548
0.5000 0.2482 0.5000
0.5000 0.0000 0.7452
0.5000 0.7501 0.0000
0.0000 0.7528 0.7447
0.5000 0.5000 0.7483
0.0000 0.2472 0.7447
0.0000 0.2472 0.2553
0.5000 0.2499 0.0000
0.5000 0.7518 0.5000
0.0000 0.5000 0.5000
0.0000 0.0000 0.0000
0.5000 0.0000 0.0000
0.0000 0.5000 0.2443
0.0000 0.2616 0.5000
0.5000 0.2488 0.7508
0.0000 0.7642 0.0000
0.5000 0.5000 0.0000
0.0000 0.2358 0.0000
0.5000 0.7512 0.7508
0.0000 0.0000 0.7825
0.0000 0.7384 0.5000
0.5000 0.2488 0.2492
0.5000 0.7512 0.2492
0.5000 0.0000 0.5000
0.0000 0.5000 0.7557
0.5000 0.5000 0.5000
0.0000 0.0000 0.2175
0.0000 0.0000 0.5000